A plane-wave DFT calculation with GGA-PBE was carried out for an optimized crystal structure of Na3ScSe.

Unit cell a=5.951 b=5.951 c=5.951 alpha=90.00 beta=90.00 gamma=90.00
Site moments in Bohr magnetons follow the coordinates.
Element x y z (fractional)
Na  0.500  0.000  0.000  0.04
Na  0.000  0.000  0.500  0.03
Na  0.000  0.500  0.000  0.04
Se  0.500  0.500  0.500  -0.02
Sc  0.000  0.000  0.000  1.18

Summary:
E above lowest polymorph = 778 meV/atom
Volume = 210.7 Å³/cell
SG = Pm-3m, No. 221
Total energy = -1.973 eV per atom